# 1
{
  "formula": "BaFe2P",
  "functional": "GGA-PBE",
  "state": "optimized geometry",
  "dos_at_fermi_per_ev_atom": 0.653,
  "lattice": [[3.6319, 0.0000, 0.0000], [0.0000, 3.6278, -0.2137], [0.0000, 0.3773, 6.2353]],
  "species": ["Ba", "Fe", "Fe", "P"],
  "frac_coords": [[0.5000, 0.8743, 0.7091], [0.0000, 0.8754, 0.1924], [0.5000, 0.3753, 0.1923], [0.0000, 0.3749, 0.4062]]
}

# 2
{
  "formula": "Ba3FeP",
  "functional": "GGA-PBE",
  "state": "optimized geometry",
  "dos_at_fermi_per_ev_atom": 0.524,
  "lattice": [[5.4856, 0.0000, 0.0000], [0.0000, 5.4856, 0.0000], [0.0000, 0.0000, 5.4856]],
  "species": ["P", "Ba", "Ba", "Ba", "Fe"],
  "frac_coords": [[0.5000, 0.5000, 0.5000], [0.0000, 0.5000, 0.0000], [0.0000, 0.0000, 0.5000], [0.5000, 0.0000, 0.0000], [0.0000, 0.0000, 0.0000]]
}

# 3
{
  "formula": "Ba2FeP",
  "functional": "GGA-PBE",
  "state": "optimized geometry",
  "dos_at_fermi_per_ev_atom": 1.321,
  "lattice": [[-1.8598, 3.8337, 0.4283], [-4.0475, -2.1417, 1.5946], [-0.0523, -0.7249, 6.2622]],
  "species": ["Ba", "Ba", "Fe", "P"],
  "frac_coords": [[0.0000, 0.9852, 0.9044], [0.5000, 0.2724, 0.3304], [0.0000, 0.6565, 0.5616], [0.5000, 0.5859, 0.7036]]
}

# 4
{
  "formula": "BaFe2P",
  "functional": "GGA-PBE",
  "state": "optimized geometry",
  "dos_at_fermi_per_ev_atom": 0.783,
  "lattice": [[3.9935, -0.0023, 0.0135], [1.9992, 3.4570, 0.0135], [1.9780, 1.1403, 5.8127]],
  "species": ["Ba", "Fe", "Fe", "P"],
  "frac_coords": [[0.2500, 0.2500, 0.2493], [0.0615, 0.0615, 0.8157], [0.7510, 0.7510, 0.7472], [0.4375, 0.4375, 0.6879]]
}

# 5
{
  "formula": "BaFeP3",
  "functional": "GGA-PBE",
  "state": "optimized geometry",
  "de_polymorph_ev_per_atom": 0.0000,
  "dos_at_fermi_per_ev_atom": 1.497,
  "lattice": [[4.6281, 0.0000, 0.0000], [0.0000, 4.6281, 0.0000], [0.0000, 0.0000, 4.6281]],
  "species": ["P", "P", "P", "Ba", "Fe"],
  "frac_coords": [[0.0000, 0.5000, 0.0000], [0.0000, 0.0000, 0.5000], [0.5000, 0.0000, 0.0000], [0.5000, 0.5000, 0.5000], [0.0000, 0.0000, 0.0000]]
}

# 6
{
  "formula": "Ba2FeP",
  "functional": "GGA-PBE",
  "state": "optimized geometry",
  "dos_at_fermi_per_ev_atom": 1.125,
  "lattice": [[-3.0323, -0.6115, 3.5402], [-1.3574, -4.0943, -1.8699], [4.6745, -3.1313, 3.4630]],
  "species": ["Ba", "Ba", "Fe", "P"],
  "frac_coords": [[0.0000, 0.0000, 0.8749], [0.5000, 0.5000, 0.3754], [0.0000, 0.0000, 0.3742], [0.5000, 0.5000, 0.8756]]
}

# 7
{
  "formula": "BaFe2P",
  "functional": "GGA-PBE",
  "state": "optimized geometry",
  "dos_at_fermi_per_ev_atom": 1.192,
  "lattice": [[-0.6369, -4.2459, 2.3196], [4.5199, 0.2355, 1.8245], [-3.1343, 3.6804, 0.6668]],
  "species": ["Ba", "Fe", "Fe", "P"],
  "frac_coords": [[0.7500, 0.2500, 0.5000], [0.0000, 0.0000, 0.0000], [0.2500, 0.7500, 0.5000], [0.5000, 0.5000, 0.0000]]
}

# 8
{
  "formula": "BaFe2P",
  "functional": "GGA-PBE",
  "state": "optimized geometry",
  "dos_at_fermi_per_ev_atom": 1.262,
  "lattice": [[3.2218, 0.0000, 0.0000], [0.0000, 3.2221, 0.0000], [0.0000, 0.0000, 7.2223]],
  "species": ["Ba", "Fe", "Fe", "P"],
  "frac_coords": [[0.5000, 0.5000, 0.7443], [0.0000, 0.0000, 0.0951], [0.5000, 0.5000, 0.2560], [0.0000, 0.0000, 0.4046]]
}

Which energy of formation from the pure elements belongs to each record? In order, -0.0784 0.2135 -0.2715 -0.2815 -0.0430 0.2059 0.7044 0.1689 eV per atom.